First-principles (GGA-PBEsol) data for Sr2CaTa after structural relaxation, as listed in Alexandria.

```
Sr2CaTa
1.0
3.402 0.003 0.005
-0.968 6.612 0.000
-0.968 -3.165 5.805
Sr Ta Ca
2 1 1
Direct
0.000 0.000 0.500 Sr
0.000 0.500 0.000 Sr
0.500 0.000 0.000 Ta
0.500 0.500 0.500 Ca
```

Electronic total energy ... -3.6685 eV/atom
Formation enthalpy at 0 K ... 0.92 eV/atom
Energy above the most stable polymorph in this dataset ... 14.7 kJ per mole of atoms